LiPb2Au | meta-GGA SCAN | PBEsol geometry

The structure belongs to space group Pm (No. 6); the cell edges are 3.7622, 4.4052 and 5.7241 Å and the angles 90.00°, 109.28° and 90.00°. The distinct sites, in fractional coordinates, are Li at (0.0000, 0.0000, 0.0000), Pb at (0.2777, 0.0000, 0.5518), Pb at (0.5781, 0.5000, 0.1560) and Au at (0.8629, 0.5000, 0.7235).

For the relative energy among the computed polymorphs, the calculation gives 0.162 kcal/mol of atoms.

---

Li2Pb2Au | meta-GGA SCAN | PBEsol geometry

The structure belongs to space group P4/mbm (No. 127); the cell edges are 6.8163, 6.8163 and 4.3070 Å and the angles 90.00°, 90.00° and 90.00°. The distinct sites, in fractional coordinates, are Li at (0.1424, 0.3576, 0.0000), Pb at (0.1706, 0.6706, 0.5000) and Au at (0.0000, 0.0000, 0.0000).

The calculated total energy is -454.0 eV per cell.

---

> What is the formula in the second record?

Li2Pb2Au

---

Copy entry 2 word for word.
Li2Pb2Au | meta-GGA SCAN | PBEsol geometry

The structure belongs to space group P4/mbm (No. 127); the cell edges are 6.8163, 6.8163 and 4.3070 Å and the angles 90.00°, 90.00° and 90.00°. The distinct sites, in fractional coordinates, are Li at (0.1424, 0.3576, 0.0000), Pb at (0.1706, 0.6706, 0.5000) and Au at (0.0000, 0.0000, 0.0000).

The calculated total energy is -454.0 eV per cell.